No. 1
The following is a DFT calculation (PBE) of a geometry-optimized LiLaSb structure.

Cell: 7.368 7.368 7.368 Å, 90.00 90.00 90.00°
Space group F-43m (No. 216)
Symmetry-distinct sites (fractional):
Li  0.000  0.000  0.000 (multiplicity 4)
La  0.250  0.250  0.250 (multiplicity 4)
Sb  0.000  0.000  0.500 (multiplicity 4)

Calculated values
- E_form (uncorrected) (eV per atom) = -0.36
- final energy (eV per atom) = -4.02
- D(E_F) (states/eV per cell) = 6.8



No. 2
The following is a DFT calculation (PBE) of a geometry-optimized Ce2Cd2Rh15 structure.

Cell: 9.0435 9.0435 13.3914 Å, 90.00 90.00 120.00°
Space group R-3m (No. 166, hexagonal axes)
Symmetry-distinct sites (fractional):
Ce  0.0000  0.0000  0.1503 (multiplicity 6)
Cd  0.0000  0.0000  0.3990 (multiplicity 6)
Rh  0.0000  0.3132  0.5000 (multiplicity 18)
Rh  0.0000  0.5000  0.0000 (multiplicity 9)
Rh  0.0073  0.5037  0.6554 (multiplicity 18)

Calculated values
- final energy (eV per atom) = -6.73
- D(E_F) (states/eV per cell) = 81.0



No. 3
The following is a DFT calculation (PBE) of a geometry-optimized AcPrAgSn structure.

Cell: 7.894 7.894 7.894 Å, 90.00 90.00 90.00°
Space group F-43m (No. 216)
Symmetry-distinct sites (fractional):
Ac  0.000  0.000  0.000 (multiplicity 4)
Pr  0.000  0.000  0.500 (multiplicity 4)
Ag  0.250  0.250  0.250 (multiplicity 4)
Sn  0.250  0.250  0.750 (multiplicity 4)

Calculated values
- final energy (eV per atom) = -4.41
- D(E_F) (states/eV per cell) = 17.6



No. 4
The following is a DFT calculation (PBE) of a geometry-optimized Zn2TcOs structure.

Cell: 3.025 3.025 6.119 Å, 90.00 90.00 90.00°
Space group P4/mmm (No. 123)
Symmetry-distinct sites (fractional):
Zn  0.000  0.000  0.246 (multiplicity 2)
Tc  0.500  0.500  0.500 (multiplicity 1)
Os  0.500  0.500  0.000 (multiplicity 1)

Calculated values
- final energy (eV per atom) = -5.64
- D(E_F) (states/eV per cell) = 4.2